The following is a DFT calculation (PBE) of a geometry-optimized GeF structure.

Values from the calculation:
Calculated total energy, eV per atom: -3.9286
Raw formation energy, meV/atom: -684.2
Space-group type: P6_3/mmc, No. 194

Lattice parameters (Å, degrees): 4.250 4.250 5.002 90.00 90.00 120.00
Positions (direct):
1 Ge 0.333 0.667 0.250
2 Ge 0.667 0.333 0.750
3 F 0.333 0.667 0.750
4 F 0.667 0.333 0.250

The following is a DFT calculation (PBE) of a geometry-optimized GeF structure.

Values from the calculation:
Calculated total energy, eV per atom: -4.5660
Raw formation energy, meV/atom: -1321.7
Space-group type: P1, No. 1

Lattice parameters (Å, degrees): 2.959 2.965 4.295 91.40 90.74 119.88
Positions (direct):
1 Ge 0.000 0.000 0.000
2 F 0.026 0.033 0.436

The following is a DFT calculation (PBE) of a geometry-optimized GeF structure.

Values from the calculation:
Calculated total energy, eV per atom: -4.5232
Raw formation energy, meV/atom: -1278.8
Space-group type: Pmmn, No. 59

Lattice parameters (Å, degrees): 2.849 10.774 6.599 90.00 90.00 90.00
Positions (direct):
1 Ge 0.250 0.077 0.140
2 Ge 0.250 0.423 0.140
3 Ge 0.250 0.750 0.404
4 Ge 0.750 0.250 0.596
5 Ge 0.750 0.577 0.860
6 Ge 0.750 0.923 0.860
7 F 0.250 0.250 0.848
8 F 0.250 0.561 0.336
9 F 0.250 0.939 0.336
10 F 0.750 0.061 0.664
11 F 0.750 0.439 0.664
12 F 0.750 0.750 0.152